No. 1
DFT (PBE) results for an optimized crystal structure of Sr2Hg3BiPd4.

**Calculated total energy**: -0.2440 Ry per atom
**Density**: 9.564 g cm⁻³
**Calculated formation energy**: -0.43 eV/atom
**V**: 24.51 Å³ per atom
**Density of states at the Fermi level**: 0.461 states/eV/atom

```
Sr2Hg3BiPd4
1.0
4.5493 0.0000 0.0000
0.0000 4.5493 0.0000
0.0000 0.0000 11.8428
Sr Hg Bi Pd
2 3 1 4
Direct
0.5000 0.0000 0.2380 Sr
0.0000 0.5000 0.7620 Sr
0.0000 0.0000 0.5000 Hg
0.5000 0.0000 0.8669 Hg
0.0000 0.5000 0.1331 Hg
0.5000 0.5000 0.5000 Bi
0.5000 0.5000 0.0000 Pd
0.0000 0.0000 0.0000 Pd
0.5000 0.0000 0.6400 Pd
0.0000 0.5000 0.3600 Pd
```


No. 2
DFT (PBE) results for an optimized crystal structure of LiAc3Ga4.

**Calculated total energy**: -0.2667 Ry per atom
**Density**: 6.660 g cm⁻³
**Calculated formation energy**: -0.34 eV/atom
**V**: 30.13 Å³ per atom
**Density of states at the Fermi level**: 1.026 states/eV/atom

```
LiAc3Ga4
1.0
5.1237 0.0000 0.0000
0.0000 6.8440 0.0000
-2.5618 -3.4220 6.8740
Li Ac Ga
1 3 4
Direct
0.5000 0.0000 0.0000 Li
0.1856 0.1856 0.3712 Ac
0.8144 0.8144 0.6288 Ac
0.0000 0.5000 0.0000 Ac
0.3948 0.5941 0.7896 Ga
0.6052 0.4059 0.2104 Ga
0.6052 0.8045 0.2104 Ga
0.3948 0.1955 0.7896 Ga
```


No. 3
DFT (PBE) results for an optimized crystal structure of KGeBr3.

**Energy relative to the elements, uncorrected**: -4.76 eV/f.u.
**Calculated total energy**: -0.2278 Ry per atom
**Density**: 3.118 g cm⁻³
**V**: 37.44 Å³ per atom
**Density of states at the Fermi level**: 0.000 states/eV/atom

```
KGeBr3
1.0
-3.7015 1.3259 3.0041
1.4564 -4.7248 -0.1951
11.6045 3.0422 12.9558
Ge K Br
2 2 6
Direct
0.3333 0.6667 0.7500 Ge
0.6667 0.3333 0.2500 Ge
0.0000 0.0000 0.0000 K
0.0000 0.0000 0.5000 K
0.0000 0.0000 0.2500 Br
0.0000 0.0000 0.7500 Br
0.3333 0.6667 0.9038 Br
0.3333 0.6667 0.5962 Br
0.6667 0.3333 0.4038 Br
0.6667 0.3333 0.0962 Br
```


No. 4
DFT (PBE) results for an optimized crystal structure of CdHgBr2.

**Energy relative to the elements, uncorrected**: -2.25 eV/f.u.
**Calculated total energy**: -0.1251 Ry per atom
**Density**: 5.187 g cm⁻³
**V**: 37.84 Å³ per atom
**Density of states at the Fermi level**: 0.000 states/eV/atom

```
CdHgBr2
1.0
-2.8308 6.7178 1.0251
-3.0606 6.0728 -2.8189
-6.3114 0.7467 0.2522
Hg Br Cd
1 2 1
Direct
0.2305 0.2305 0.2981 Hg
0.0364 0.0364 0.8066 Br
0.8377 0.8377 0.5901 Br
0.3955 0.3955 0.8052 Cd
```


No. 5
DFT (PBE) results for an optimized crystal structure of BaInSnAu3.

**Calculated total energy**: -0.2535 Ry per atom
**Density**: 9.280 g cm⁻³
**Calculated formation energy**: -0.37 eV/atom
**V**: 28.68 Å³ per atom
**Density of states at the Fermi level**: 0.348 states/eV/atom

```
BaInSnAu3
1.0
-5.6871 3.8685 2.4500
-4.2294 -3.4240 -4.4111
0.9733 -2.9519 6.9203
Ba In Sn Au
2 2 2 6
Direct
0.7500 0.2921 0.5842 Ba
0.2500 0.7079 0.4158 Ba
0.2500 0.9816 0.9632 In
0.7500 0.0184 0.0368 In
0.2500 0.3841 0.7682 Sn
0.7500 0.6159 0.2318 Sn
0.2500 0.1843 0.3686 Au
0.0000 0.2942 0.0000 Au
0.5000 0.7058 0.0000 Au
0.5000 0.2942 0.0000 Au
0.0000 0.7058 0.0000 Au
0.7500 0.8157 0.6314 Au
```


No. 6
DFT (PBE) results for an optimized crystal structure of BaIr2Rh.

**Calculated total energy**: -0.4370 Ry per atom
**Density**: 13.490 g cm⁻³
**Calculated formation energy**: 0.80 eV/atom
**V**: 19.22 Å³ per atom
**Density of states at the Fermi level**: 1.446 states/eV/atom

```
BaIr2Rh
1.0
-2.1817 2.1817 4.0387
2.1817 -2.1817 4.0387
2.1817 2.1817 -4.0387
Ba Ir Rh
1 2 1
Direct
0.7500 0.2500 0.5000 Ba
0.0000 0.0000 0.0000 Ir
0.2500 0.7500 0.5000 Ir
0.5000 0.5000 0.0000 Rh
```